{"formula": "Na2In2Ag3", "functional": "PBE", "state": "relaxed", "ef_ev_per_atom": -0.053, "energy_ry_per_atom": -0.179, "magnetic_moment_mub_per_atom": 0.000, "mass_density_g_cm3": 5.9, "e_above_lowest_polymorph_mev_per_atom": 11, "cell": [[4.6974, 0.0000, 0.0000], [-2.3487, 5.4668, -0.2770], [0.0000, -3.1638, 6.7597]], "species": ["In", "In", "Ag", "Ag", "Ag", "Na", "Na"], "fractional_positions": [[0.8631, 0.7262, 0.7747], [0.1369, 0.2738, 0.2253], [0.4011, 0.8022, 0.5733], [0.5989, 0.1978, 0.4267], [0.5000, 0.0000, 0.0000], [0.8493, 0.6986, 0.2445], [0.1507, 0.3014, 0.7555]]}


{"formula": "KZrRu", "functional": "PBE", "state": "relaxed", "ef_ev_per_atom": -0.011, "energy_ry_per_atom": -0.464, "magnetic_moment_mub_per_atom": 0.000, "mass_density_g_cm3": 4.2, "e_above_lowest_polymorph_mev_per_atom": 0, "cell": [[3.2864, 0.0000, -0.0003], [0.0000, 4.4379, 0.0000], [-1.0831, 0.0000, 12.5261]], "species": ["Ru", "Ru", "Zr", "Zr", "K", "K"], "fractional_positions": [[0.6643, 0.5000, 0.8457], [0.6091, 0.0000, 0.6766], [0.1063, 0.5000, 0.6673], [0.1642, 0.0000, 0.8552], [0.3194, 0.5000, 0.1002], [0.0208, 0.0000, 0.4225]]}


{"formula": "MgNb2B6", "functional": "PBE", "state": "relaxed", "ef_ev_per_atom": -0.569, "energy_ry_per_atom": -0.547, "magnetic_moment_mub_per_atom": 0.000, "mass_density_g_cm3": 5.5, "cell": [[3.3870, 0.0000, 0.0000], [0.0000, 4.6285, -2.6722], [0.0000, 0.0000, 5.3445]], "species": ["Mg", "B", "B", "B", "B", "B", "B", "Nb", "Nb"], "fractional_positions": [[0.0000, 0.0000, 0.0000], [0.5000, 0.0000, 0.3321], [0.5000, 0.3321, 0.3321], [0.5000, 0.6679, 0.0000], [0.5000, 0.6679, 0.6679], [0.5000, 0.3321, 0.0000], [0.5000, 0.0000, 0.6679], [0.0000, 0.3333, 0.6667], [0.0000, 0.6667, 0.3333]]}